Material: ErSc5Cu4
Method: DFT, PBE-GGA
State: optimized geometry

Values from the calculation:
**Formation energy**: -0.20 eV/atom
**Symmetry**: P4/mmm

Cell lengths 3.2655, 3.2655, 18.0747 Å; angles 90.00, 90.00, 90.00 degrees
Element x y z (fractional)
Cu (0.0000, 0.0000, 0.5897)
Cu (0.0000, 0.0000, 0.2284)
Cu (0.0000, 0.0000, 0.7716)
Cu (0.0000, 0.0000, 0.4103)
Sc (0.5000, 0.5000, 0.3186)
Sc (0.5000, 0.5000, 0.1388)
Sc (0.5000, 0.5000, 0.8612)
Sc (0.5000, 0.5000, 0.5000)
Sc (0.5000, 0.5000, 0.6814)
Er (0.0000, 0.0000, 0.0000)

***

Material: ErSc2Cu4
Method: DFT, PBE-GGA
State: optimized geometry

Values from the calculation:
**Formation energy**: -0.01 eV/atom
**Symmetry**: I4/mmm

Cell lengths 4.6934, 4.6934, 7.0265 Å; angles 109.51, 109.51, 90.00 degrees
Element x y z (fractional)
Cu (0.3671, 0.8671, 0.7342)
Cu (0.1329, 0.6329, 0.2658)
Cu (0.6329, 0.1329, 0.2658)
Cu (0.8671, 0.3671, 0.7342)
Sc (0.7335, 0.7335, 0.4670)
Sc (0.2665, 0.2665, 0.5330)
Er (0.0000, 0.0000, 0.0000)

***

Material: Er2ScCu6
Method: DFT, PBE-GGA
State: optimized geometry

Values from the calculation:
**Formation energy**: -0.23 eV/atom
**Symmetry**: P6/mmm

Cell lengths 3.2676, 7.3788, 7.3788 Å; angles 120.00, 90.00, 90.00 degrees
Element x y z (fractional)
Cu (0.5000, 0.3302, 0.3302)
Cu (0.5000, 0.6698, 0.6698)
Cu (0.5000, 0.0000, 0.3302)
Cu (0.5000, 0.6698, 0.0000)
Cu (0.5000, 0.0000, 0.6698)
Cu (0.5000, 0.3302, 0.0000)
Er (0.0000, 0.6667, 0.3333)
Er (0.0000, 0.3333, 0.6667)
Sc (0.0000, 0.0000, 0.0000)

***

Calculated magnetization in order - 0.00, 0.00, 0.00 μB per formula unit
Calculated D(E_F) in order - 1.0418, 0.7264, 0.6482 states/eV/atom
Calculated raw total energy in order - -5.46, -4.81, -4.68 eV/atom